(1)
ZrTi3Sn3: relaxed, PBE-GGA.

Geometry as POSCAR:
```
ZrTi3Sn3
1.0
-2.878 -3.523 1.956
0.246 -4.103 -7.028
5.611 -1.401 5.731
Zr Ti Sn
2 6 6
direct
0.250 0.667 0.333
0.750 0.333 0.667
0.250 0.804 0.776
0.250 0.224 0.028
0.250 0.972 0.196
0.750 0.196 0.224
0.750 0.776 0.972
0.750 0.028 0.804
0.750 0.636 0.562
0.750 0.438 0.074
0.750 0.926 0.364
0.250 0.364 0.438
0.250 0.562 0.926
0.250 0.074 0.636
```

Properties
SG = P6_3/m, No. 176
polymorph energy (0 for the lowest one) = 82 meV per atom
crystal system = hexagonal
total energy = -6.55 eV per atom
DOS at the Fermi energy = 17.8 states/eV/cell

***

(2)
Zr2TiSn: relaxed, PBE-GGA.

Geometry as POSCAR:
```
Zr2TiSn
1.0
7.881 0.000 0.000
0.000 7.881 0.000
3.940 3.940 2.892
Sn Zr Ti
2 4 2
direct
0.000 0.000 0.000
0.750 0.250 0.500
0.622 0.125 0.250
0.128 0.625 0.250
0.375 0.378 0.750
0.875 0.872 0.750
0.500 0.500 0.000
0.250 0.750 0.500
```

Properties
SG = I-42d, No. 122
crystal system = tetragonal
total energy = -7.05 eV per atom
DOS at the Fermi energy = 9.1 states/eV/cell

***

(3)
Zr5TiSn3: relaxed, PBE-GGA.

Geometry as POSCAR:
```
Zr5TiSn3
1.0
-6.348 1.661 3.558
-1.289 -7.270 1.093
7.478 3.116 4.060
Zr Ti Sn
10 2 6
direct
0.056 0.556 0.725
0.669 0.169 0.725
0.169 0.056 0.725
0.556 0.669 0.725
0.944 0.444 0.275
0.331 0.831 0.275
0.831 0.944 0.275
0.444 0.331 0.275
0.500 0.500 0.000
0.000 0.000 0.000
0.750 0.250 0.500
0.250 0.750 0.500
0.627 0.127 0.000
0.373 0.873 0.000
0.873 0.627 0.000
0.127 0.373 0.000
0.250 0.250 0.500
0.750 0.750 0.500
```

Properties
SG = I4/mcm, No. 140
crystal system = tetragonal
total energy = -7.04 eV per atom
DOS at the Fermi energy = 20.1 states/eV/cell

***

(4)
Tl4Sn3: relaxed, PBE-GGA.

Geometry as POSCAR:
```
Tl4Sn3
1.0
-0.071 1.552 4.342
-0.648 -4.528 -0.841
12.541 0.340 0.083
Tl Sn
4 3
direct
0.930 0.861 0.793
0.070 0.139 0.207
0.793 0.587 0.375
0.207 0.413 0.625
0.651 0.302 0.949
0.500 0.000 0.500
0.349 0.698 0.051
```

Properties
SG = C2/m, No. 12
polymorph energy (0 for the lowest one) = 77 meV per atom
crystal system = monoclinic
total energy = -2.97 eV per atom
DOS at the Fermi energy = 3.1 states/eV/cell